The following is a SCAN calculation of a PBEsol-optimized structure of HfBePt2, from the Alexandria database.

a = 6.2319 Å, b = 6.2319 Å, c = 6.2319 Å
α = 90.00°, β = 90.00°, γ = 90.00°
Fractional positions:
1 Hf 0.0000 0.0000 0.0000
2 Hf 0.0000 0.5000 0.5000
3 Hf 0.5000 0.0000 0.5000
4 Hf 0.5000 0.5000 0.0000
5 Be 0.0000 0.0000 0.5000
6 Be 0.0000 0.5000 0.0000
7 Be 0.5000 0.0000 0.0000
8 Be 0.5000 0.5000 0.5000
9 Pt 0.2500 0.2500 0.2500
10 Pt 0.2500 0.2500 0.7500
11 Pt 0.2500 0.7500 0.2500
12 Pt 0.2500 0.7500 0.7500
13 Pt 0.7500 0.2500 0.2500
14 Pt 0.7500 0.2500 0.7500
15 Pt 0.7500 0.7500 0.2500
16 Pt 0.7500 0.7500 0.7500

Summary:
DOS(E_F) in states/eV/atom: 0.40
E_form in eV/atom: -0.9473
Spin magnetization in μB/atom: 0.000
Space group: No. 225
Energy relative to the lowest polymorph listed for this composition in meV/atom: 0.0


The following is a SCAN calculation of a PBEsol-optimized structure of Hf2Be2Pt, from the Alexandria database.

a = 6.2904 Å, b = 6.2904 Å, c = 3.6063 Å
α = 90.00°, β = 90.00°, γ = 90.00°
Fractional positions:
1 Hf 0.1736 0.3264 0.0000
2 Hf 0.3264 0.8264 0.0000
3 Hf 0.6736 0.1736 0.0000
4 Hf 0.8264 0.6736 0.0000
5 Be 0.1227 0.6227 0.5000
6 Be 0.3773 0.1227 0.5000
7 Be 0.6227 0.8773 0.5000
8 Be 0.8773 0.3773 0.5000
9 Pt 0.0000 0.0000 0.5000
10 Pt 0.5000 0.5000 0.5000

Summary:
DOS(E_F) in states/eV/atom: 0.55
E_form in eV/atom: -0.7579
Spin magnetization in μB/atom: 0.000
Space group: No. 127


The following is a SCAN calculation of a PBEsol-optimized structure of HfBe2Pt2, from the Alexandria database.

a = 3.3978 Å, b = 3.3978 Å, c = 12.2461 Å
α = 90.00°, β = 90.00°, γ = 90.00°
Fractional positions:
1 Hf 0.0000 0.0000 0.0000
2 Hf 0.5000 0.5000 0.5000
3 Be 0.0000 0.5000 0.2500
4 Be 0.0000 0.5000 0.7500
5 Be 0.5000 0.0000 0.2500
6 Be 0.5000 0.0000 0.7500
7 Pt 0.0000 0.0000 0.3858
8 Pt 0.0000 0.0000 0.6142
9 Pt 0.5000 0.5000 0.1142
10 Pt 0.5000 0.5000 0.8858

Summary:
DOS(E_F) in states/eV/atom: 0.31
E_form in eV/atom: -0.9170
Spin magnetization in μB/atom: 0.000
Space group: No. 139


The following is a SCAN calculation of a PBEsol-optimized structure of RbHf3Be, from the Alexandria database.

a = 4.8862 Å, b = 4.8862 Å, c = 4.8862 Å
α = 90.00°, β = 90.00°, γ = 90.00°
Fractional positions:
1 Rb 0.0000 0.0000 0.0000
2 Hf 0.0000 0.0000 0.5000
3 Hf 0.0000 0.5000 0.0000
4 Hf 0.5000 0.0000 0.0000
5 Be 0.5000 0.5000 0.5000

Summary:
DOS(E_F) in states/eV/atom: 1.16
E_form in eV/atom: 2.7224
Spin magnetization in μB/atom: 0.000
Space group: No. 221


The following is a SCAN calculation of a PBEsol-optimized structure of RbHfBe2, from the Alexandria database.

a = 7.5468 Å, b = 7.5468 Å, c = 6.6147 Å
α = 90.00°, β = 90.00°, γ = 90.00°
Fractional positions:
1 Rb 0.0000 0.0000 0.0000
2 Rb 0.0000 0.5000 0.2500
3 Rb 0.5000 0.0000 0.7500
4 Rb 0.5000 0.5000 0.5000
5 Hf 0.0000 0.0000 0.5000
6 Hf 0.0000 0.5000 0.7500
7 Hf 0.5000 0.0000 0.2500
8 Hf 0.5000 0.5000 0.0000
9 Be 0.1971 0.2500 0.6250
10 Be 0.2500 0.6971 0.8750
11 Be 0.2500 0.8029 0.3750
12 Be 0.3029 0.2500 0.1250
13 Be 0.6971 0.7500 0.1250
14 Be 0.7500 0.1971 0.3750
15 Be 0.7500 0.3029 0.8750
16 Be 0.8029 0.7500 0.6250

Summary:
DOS(E_F) in states/eV/atom: 0.52
E_form in eV/atom: 1.4567
Spin magnetization in μB/atom: 0.269
Space group: No. 122


The following is a SCAN calculation of a PBEsol-optimized structure of HfBe2Re2, from the Alexandria database.

a = 6.2703 Å, b = 6.2703 Å, c = 3.2058 Å
α = 90.00°, β = 90.00°, γ = 90.00°
Fractional positions:
1 Hf 0.0000 0.0000 0.0000
2 Hf 0.5000 0.5000 0.0000
3 Be 0.1148 0.3852 0.0000
4 Be 0.3852 0.8852 0.0000
5 Be 0.6148 0.1148 0.0000
6 Be 0.8852 0.6148 0.0000
7 Re 0.1723 0.6723 0.5000
8 Re 0.3277 0.1723 0.5000
9 Re 0.6723 0.8277 0.5000
10 Re 0.8277 0.3277 0.5000

Summary:
DOS(E_F) in states/eV/atom: 0.28
E_form in eV/atom: -0.3913
Spin magnetization in μB/atom: 0.000
Space group: No. 127


The following is a SCAN calculation of a PBEsol-optimized structure of Hf2Be2Re, from the Alexandria database.

a = 6.4291 Å, b = 6.4291 Å, c = 3.4598 Å
α = 90.00°, β = 90.00°, γ = 90.00°
Fractional positions:
1 Hf 0.1836 0.3164 0.0000
2 Hf 0.3164 0.8164 0.0000
3 Hf 0.6836 0.1836 0.0000
4 Hf 0.8164 0.6836 0.0000
5 Be 0.1165 0.6165 0.5000
6 Be 0.3835 0.1165 0.5000
7 Be 0.6165 0.8835 0.5000
8 Be 0.8835 0.3835 0.5000
9 Re 0.0000 0.0000 0.5000
10 Re 0.5000 0.5000 0.5000

Summary:
DOS(E_F) in states/eV/atom: 0.89
E_form in eV/atom: -0.2691
Spin magnetization in μB/atom: 0.000
Space group: No. 127


The following is a SCAN calculation of a PBEsol-optimized structure of HfBeRh3, from the Alexandria database.

a = 4.6454 Å, b = 4.6454 Å, c = 4.6454 Å
α = 90.00°, β = 90.00°, γ = 90.00°
Fractional positions:
1 Hf 0.0000 0.0000 0.0000
2 Be 0.5000 0.5000 0.5000
3 Rh 0.0000 0.0000 0.5000
4 Rh 0.0000 0.5000 0.0000
5 Rh 0.5000 0.0000 0.0000

Summary:
DOS(E_F) in states/eV/atom: 0.99
E_form in eV/atom: 1.1243
Spin magnetization in μB/atom: 0.000
Space group: No. 221


The following is a SCAN calculation of a PBEsol-optimized structure of HfBe2Rh2, from the Alexandria database.

a = 6.6245 Å, b = 6.6245 Å, c = 2.8258 Å
α = 90.00°, β = 90.00°, γ = 90.00°
Fractional positions:
1 Hf 0.0000 0.0000 0.0000
2 Hf 0.5000 0.5000 0.0000
3 Be 0.1160 0.3840 0.0000
4 Be 0.3840 0.8840 0.0000
5 Be 0.6160 0.1160 0.0000
6 Be 0.8840 0.6160 0.0000
7 Rh 0.1731 0.6731 0.5000
8 Rh 0.3269 0.1731 0.5000
9 Rh 0.6731 0.8269 0.5000
10 Rh 0.8269 0.3269 0.5000

Summary:
DOS(E_F) in states/eV/atom: 0.42
E_form in eV/atom: -0.7829
Spin magnetization in μB/atom: 0.000
Space group: No. 127


The following is a SCAN calculation of a PBEsol-optimized structure of HfBeTcRh2, from the Alexandria database.

a = 4.5931 Å, b = 4.5931 Å, c = 4.0649 Å
α = 90.00°, β = 90.00°, γ = 90.00°
Fractional positions:
1 Hf 0.0000 0.0000 0.0000
2 Be 0.5000 0.5000 0.0000
3 Tc 0.5000 0.5000 0.5000
4 Rh 0.0000 0.5000 0.5000
5 Rh 0.5000 0.0000 0.5000

Summary:
DOS(E_F) in states/eV/atom: 0.69
E_form in eV/atom: 0.6758
Spin magnetization in μB/atom: 0.000
Space group: No. 123


The following is a SCAN calculation of a PBEsol-optimized structure of Hf2Be2Ru, from the Alexandria database.

a = 6.3911 Å, b = 6.3911 Å, c = 3.4351 Å
α = 90.00°, β = 90.00°, γ = 90.00°
Fractional positions:
1 Hf 0.1802 0.3198 0.0000
2 Hf 0.3198 0.8198 0.0000
3 Hf 0.6802 0.1802 0.0000
4 Hf 0.8198 0.6802 0.0000
5 Be 0.1172 0.6172 0.5000
6 Be 0.3828 0.1172 0.5000
7 Be 0.6172 0.8828 0.5000
8 Be 0.8828 0.3828 0.5000
9 Ru 0.0000 0.0000 0.5000
10 Ru 0.5000 0.5000 0.5000

Summary:
DOS(E_F) in states/eV/atom: 0.75
E_form in eV/atom: -0.4080
Spin magnetization in μB/atom: 0.000
Space group: No. 127


The following is a SCAN calculation of a PBEsol-optimized structure of Hf2Be2Sb, from the Alexandria database.

a = 6.3895 Å, b = 6.3895 Å, c = 3.8086 Å
α = 90.00°, β = 90.00°, γ = 90.00°
Fractional positions:
1 Hf 0.1734 0.3266 0.0000
2 Hf 0.3266 0.8266 0.0000
3 Hf 0.6734 0.1734 0.0000
4 Hf 0.8266 0.6734 0.0000
5 Be 0.1134 0.6134 0.5000
6 Be 0.3866 0.1134 0.5000
7 Be 0.6134 0.8866 0.5000
8 Be 0.8866 0.3866 0.5000
9 Sb 0.0000 0.0000 0.5000
10 Sb 0.5000 0.5000 0.5000

Summary:
DOS(E_F) in states/eV/atom: 0.32
Spin magnetization in μB/atom: 0.000
Uncorrected formation energy in eV/f.u.: -1.55
Space group: No. 127